Version i
First-principles (PBE-GGA) data for TaMo3P after structural relaxation, as listed in the Alexandria database.

Unit cell a=4.438 b=4.438 c=4.438 alpha=90.00 beta=90.00 gamma=90.00
Positions (direct):
P (0.000, 0.000, 0.000)
Mo (0.000, 0.500, 0.000)
Mo (0.000, 0.000, 0.500)
Mo (0.500, 0.000, 0.000)
Ta (0.500, 0.500, 0.500)

Calculated values
- Volume: 87.4 Å³/cell
- SG: No. 221


Version ii
First-principles (PBE-GGA) data for TaMo3P after structural relaxation, as listed in the Alexandria database.

Unit cell a=4.775 b=4.775 c=4.775 alpha=90.00 beta=90.00 gamma=90.00
Positions (direct):
P (0.500, 0.500, 0.500)
Mo (0.000, 0.500, 0.000)
Mo (0.000, 0.000, 0.500)
Mo (0.500, 0.000, 0.000)
Ta (0.000, 0.000, 0.000)

Calculated values
- Volume: 108.9 Å³/cell
- SG: No. 221


It is version i that is the most stable of them.


Version i
First-principles (PBE-GGA) data for TaMoP2 after structural relaxation, as listed in the Alexandria database.

Unit cell a=4.330 b=4.330 c=4.330 alpha=60.00 beta=60.00 gamma=60.00
Positions (direct):
P (0.250, 0.250, 0.250)
P (0.750, 0.750, 0.750)
Mo (0.000, 0.000, 0.000)
Ta (0.500, 0.500, 0.500)

Calculated values
- Volume: 57.4 Å³/cell
- SG: No. 225


Version ii
First-principles (PBE-GGA) data for TaMoP2 after structural relaxation, as listed in the Alexandria database.

Unit cell a=3.237 b=3.237 c=5.616 alpha=90.00 beta=90.00 gamma=90.00
Positions (direct):
Mo (0.500, 0.500, 0.800)
P (0.000, 0.000, 0.978)
P (0.500, 0.500, 0.267)
Ta (0.000, 0.000, 0.455)

Calculated values
- Volume: 58.8 Å³/cell
- SG: No. 99


Version iii
First-principles (PBE-GGA) data for TaMoP2 after structural relaxation, as listed in the Alexandria database.

Unit cell a=5.568 b=5.568 c=5.568 alpha=148.33 beta=136.16 gamma=55.09
Positions (direct):
Mo (0.230, 0.730, 0.500)
P (0.031, 0.031, 0.000)
P (0.727, 0.227, 0.500)
Ta (0.512, 0.512, 0.000)

Calculated values
- Volume: 62.4 Å³/cell
- SG: No. 44


Version iv
First-principles (PBE-GGA) data for TaMoP2 after structural relaxation, as listed in the Alexandria database.

Unit cell a=7.878 b=7.878 c=7.878 alpha=22.50 beta=22.50 gamma=22.50
Positions (direct):
Mo (0.741, 0.741, 0.741)
P (0.001, 0.001, 0.001)
P (0.252, 0.252, 0.252)
Ta (0.505, 0.505, 0.505)

Calculated values
- Volume: 62.8 Å³/cell
- SG: No. 160


It is version ii that is the most stable of them.


Version i
First-principles (PBE-GGA) data for TaMoP2 after structural relaxation, as listed in the Alexandria database.

Unit cell a=3.044 b=3.044 c=6.182 alpha=90.00 beta=90.00 gamma=90.00
Positions (direct):
Mo (0.500, 0.500, 0.750)
P (0.000, 0.000, 0.990)
P (0.000, 0.000, 0.510)
Ta (0.500, 0.500, 0.250)

Calculated values
- Volume: 57.3 Å³/cell
- SG: No. 123


Version ii
First-principles (PBE-GGA) data for TaMoP2 after structural relaxation, as listed in the Alexandria database.

Unit cell a=3.291 b=3.291 c=6.842 alpha=76.09 beta=76.09 gamma=60.00
Positions (direct):
Ta (0.665, 0.665, 0.004)
Mo (0.502, 0.502, 0.493)
P (0.085, 0.085, 0.744)
P (0.247, 0.247, 0.259)

Calculated values
- Volume: 61.6 Å³/cell
- SG: No. 160


Version iii
First-principles (PBE-GGA) data for TaMoP2 after structural relaxation, as listed in the Alexandria database.

Unit cell a=4.400 b=4.400 c=4.400 alpha=60.00 beta=60.00 gamma=60.00
Positions (direct):
Mo (0.500, 0.500, 0.500)
P (0.000, 0.000, 0.000)
P (0.750, 0.750, 0.750)
Ta (0.250, 0.250, 0.250)

Calculated values
- Volume: 60.2 Å³/cell
- SG: No. 216


It is version ii that is the most stable of them.


Version i
First-principles (PBE-GGA) data for TaMoP2 after structural relaxation, as listed in the Alexandria database.

Unit cell a=2.840 b=2.840 c=9.643 alpha=90.00 beta=90.00 gamma=107.71
Positions (direct):
Mo (0.500, 0.500, 0.745)
P (0.000, 0.000, 0.930)
P (0.500, 0.500, 0.315)
Ta (0.000, 0.000, 0.510)

Calculated values
- Volume: 74.1 Å³/cell
- SG: No. 35


Version ii
First-principles (PBE-GGA) data for TaMoP2 after structural relaxation, as listed in the Alexandria database.

Unit cell a=3.985 b=3.985 c=5.480 alpha=77.18 beta=77.18 gamma=46.56
Positions (direct):
Mo (0.250, 0.250, 0.250)
P (0.998, 0.998, 0.020)
P (0.502, 0.502, 0.480)
Ta (0.750, 0.750, 0.750)

Calculated values
- Volume: 61.3 Å³/cell
- SG: No. 12


Version iii
First-principles (PBE-GGA) data for TaMoP2 after structural relaxation, as listed in the Alexandria database.

Unit cell a=7.284 b=7.284 c=7.284 alpha=25.20 beta=25.20 gamma=25.20
Positions (direct):
Mo (0.750, 0.750, 0.750)
P (0.002, 0.002, 0.002)
P (0.498, 0.498, 0.498)
Ta (0.250, 0.250, 0.250)

Calculated values
- Volume: 61.7 Å³/cell
- SG: No. 166


Version iv
First-principles (PBE-GGA) data for TaMoP2 after structural relaxation, as listed in the Alexandria database.

Unit cell a=4.255 b=3.170 c=4.642 alpha=70.05 beta=90.00 gamma=90.00
Positions (direct):
Mo (0.500, 0.754, 0.868)
P (0.000, 0.218, 0.938)
P (0.500, 0.033, 0.310)
Ta (0.000, 0.496, 0.383)

Calculated values
- Volume: 58.8 Å³/cell
- SG: No. 38


It is version iv that is the most stable of them.


Version i
First-principles (PBE-GGA) data for TaMoP2 after structural relaxation, as listed in the Alexandria database.

Unit cell a=4.651 b=4.651 c=4.398 alpha=77.08 beta=77.08 gamma=39.87
Positions (direct):
Mo (0.266, 0.266, 0.172)
P (0.992, 0.992, 0.062)
P (0.755, 0.755, 0.696)
Ta (0.487, 0.487, 0.570)

Calculated values
- Volume: 59.2 Å³/cell
- SG: No. 8


Version ii
First-principles (PBE-GGA) data for TaMoP2 after structural relaxation, as listed in the Alexandria database.

Unit cell a=5.319 b=5.319 c=6.966 alpha=67.55 beta=67.55 gamma=90.00
Each line ends with the local moment (μB).
Positions (direct):
P (0.612, 0.125, 0.250)  -0.01
P (0.138, 0.625, 0.250)  -0.02
P (0.375, 0.388, 0.750)  -0.01
P (0.875, 0.862, 0.750)  -0.01
Mo (0.500, 0.500, 0.000)  0.90
Mo (0.250, 0.750, 0.500)  0.90
Ta (0.000, 0.000, 0.000)  0.12
Ta (0.750, 0.250, 0.500)  0.12

Calculated values
- Volume: 165.9 Å³/cell
- SG: No. 122


It is version i that is the most stable of them.


Version i
First-principles (PBE-GGA) data for TaMo2P2 after structural relaxation, as listed in the Alexandria database.

Unit cell a=7.110 b=7.110 c=3.000 alpha=90.00 beta=90.00 gamma=90.00
Positions (direct):
Ta (0.000, 0.000, 0.000)
Ta (0.500, 0.500, 0.000)
Mo (0.142, 0.642, 0.000)
Mo (0.858, 0.358, 0.000)
Mo (0.642, 0.858, 0.000)
Mo (0.358, 0.142, 0.000)
P (0.658, 0.158, 0.500)
P (0.342, 0.842, 0.500)
P (0.158, 0.342, 0.500)
P (0.842, 0.658, 0.500)

Calculated values
- Volume: 151.7 Å³/cell
- SG: No. 127


Version ii
First-principles (PBE-GGA) data for TaMo2P2 after structural relaxation, as listed in the Alexandria database.

Unit cell a=6.850 b=6.850 c=3.120 alpha=90.00 beta=90.00 gamma=90.00
Positions (direct):
P (0.349, 0.849, 0.000)
P (0.849, 0.651, 0.000)
P (0.651, 0.151, 0.000)
P (0.151, 0.349, 0.000)
Mo (0.145, 0.645, 0.500)
Mo (0.645, 0.855, 0.500)
Mo (0.855, 0.355, 0.500)
Mo (0.355, 0.145, 0.500)
Ta (0.000, 0.000, 0.000)
Ta (0.500, 0.500, 0.000)

Calculated values
- Volume: 146.4 Å³/cell
- SG: No. 127


It is version ii that is the most stable of them.


Version i
First-principles (PBE-GGA) data for TcMo3P after structural relaxation, as listed in the Alexandria database.

Unit cell a=4.692 b=4.692 c=4.692 alpha=90.00 beta=90.00 gamma=90.00
Each line ends with the local moment (μB).
Positions (direct):
P (0.500, 0.500, 0.500)  -0.04
Mo (0.000, 0.500, 0.000)  0.32
Mo (0.000, 0.000, 0.500)  0.44
Mo (0.500, 0.000, 0.000)  0.48
Tc (0.000, 0.000, 0.000)  -0.09

Calculated values
- Volume: 103.3 Å³/cell
- SG: No. 221


Version ii
First-principles (PBE-GGA) data for TcMo3P after structural relaxation, as listed in the Alexandria database.

Unit cell a=4.397 b=4.397 c=4.397 alpha=90.00 beta=90.00 gamma=90.00
Positions (direct):
P (0.000, 0.000, 0.000)
Mo (0.000, 0.500, 0.000)
Mo (0.000, 0.000, 0.500)
Mo (0.500, 0.000, 0.000)
Tc (0.500, 0.500, 0.500)

Calculated values
- Volume: 85.0 Å³/cell
- SG: No. 221


It is version ii that is the most stable of them.


Version i
First-principles (PBE-GGA) data for TeMo2P after structural relaxation, as listed in the Alexandria database.

Unit cell a=8.530 b=8.530 c=8.530 alpha=21.73 beta=21.73 gamma=21.73
Positions (direct):
Te (0.257, 0.257, 0.257)
Mo (0.002, 0.002, 0.002)
Mo (0.756, 0.756, 0.756)
P (0.484, 0.484, 0.484)

Calculated values
- Volume: 74.6 Å³/cell
- SG: No. 160


Version ii
First-principles (PBE-GGA) data for TeMo2P after structural relaxation, as listed in the Alexandria database.

Unit cell a=3.192 b=3.192 c=8.086 alpha=90.00 beta=90.00 gamma=90.00
Positions (direct):
Te (0.500, 0.500, 0.171)
Mo (0.000, 0.000, 0.965)
Mo (0.500, 0.500, 0.740)
P (0.000, 0.000, 0.624)

Calculated values
- Volume: 82.4 Å³/cell
- SG: No. 99


Version iii
First-principles (PBE-GGA) data for TeMo2P after structural relaxation, as listed in the Alexandria database.

Unit cell a=4.640 b=4.640 c=8.389 alpha=73.94 beta=73.94 gamma=90.00
Positions (direct):
P (0.500, 0.500, 0.000)
P (0.250, 0.750, 0.500)
Mo (0.544, 0.125, 0.250)
Mo (0.206, 0.625, 0.250)
Mo (0.375, 0.456, 0.750)
Mo (0.875, 0.794, 0.750)
Te (0.000, 0.000, 0.000)
Te (0.750, 0.250, 0.500)

Calculated values
- Volume: 166.3 Å³/cell
- SG: No. 122


Version iv
First-principles (PBE-GGA) data for TeMo2P after structural relaxation, as listed in the Alexandria database.

Unit cell a=4.585 b=4.585 c=5.271 alpha=74.95 beta=74.95 gamma=42.12
Positions (direct):
Te (0.757, 0.757, 0.775)
Mo (0.001, 0.001, 0.013)
Mo (0.228, 0.228, 0.373)
P (0.515, 0.515, 0.339)

Calculated values
- Volume: 71.4 Å³/cell
- SG: No. 8


It is version iv that is the most stable of them.


Version i
First-principles (PBE-GGA) data for TeMo2P after structural relaxation, as listed in the Alexandria database.

Unit cell a=7.027 b=7.027 c=7.027 alpha=153.35 beta=152.46 gamma=38.69
Positions (direct):
Te (0.793, 0.293, 0.500)
Mo (0.986, 0.986, 0.000)
Mo (0.177, 0.677, 0.500)
P (0.544, 0.544, 0.000)

Calculated values
- Volume: 71.8 Å³/cell
- SG: No. 44


Version ii
First-principles (PBE-GGA) data for TeMo2P after structural relaxation, as listed in the Alexandria database.

Unit cell a=4.882 b=4.882 c=4.882 alpha=129.54 beta=129.54 gamma=74.15
Positions (direct):
Te (0.750, 0.250, 0.500)
Mo (0.000, 0.000, 0.000)
Mo (0.250, 0.750, 0.500)
P (0.500, 0.500, 0.000)

Calculated values
- Volume: 67.5 Å³/cell
- SG: No. 119


It is version i that is the most stable of them.


Version i
First-principles (PBE-GGA) data for Te3MoP3 after structural relaxation, as listed in the Alexandria database.

Unit cell a=10.680 b=10.680 c=4.895 alpha=90.00 beta=90.00 gamma=120.00
Each line ends with the local moment (μB).
Positions (direct):
P (0.105, 0.132, 0.250)  0.00
P (0.868, 0.974, 0.250)  0.00
P (0.026, 0.895, 0.250)  0.00
P (0.895, 0.868, 0.750)  0.00
P (0.132, 0.026, 0.750)  0.00
P (0.974, 0.105, 0.750)  0.00
Mo (0.333, 0.667, 0.250)  1.10
Mo (0.667, 0.333, 0.750)  1.10
Te (0.078, 0.456, 0.250)  -0.09
Te (0.544, 0.621, 0.250)  -0.09
Te (0.379, 0.922, 0.250)  -0.09
Te (0.922, 0.544, 0.750)  -0.09
Te (0.456, 0.379, 0.750)  -0.09
Te (0.621, 0.078, 0.750)  -0.09

Calculated values
- Volume: 483.5 Å³/cell
- SG: No. 176


Version ii
First-principles (PBE-GGA) data for Te3MoP3 after structural relaxation, as listed in the Alexandria database.

Unit cell a=12.723 b=10.274 c=3.242 alpha=90.00 beta=90.00 gamma=104.39
Positions (direct):
P (0.075, 0.907, 0.250)
P (0.023, 0.241, 0.250)
P (0.898, 0.879, 0.250)
P (0.925, 0.093, 0.750)
P (0.977, 0.759, 0.750)
P (0.102, 0.121, 0.750)
Mo (0.342, 0.733, 0.250)
Mo (0.658, 0.267, 0.750)
Te (0.505, 0.326, 0.250)
Te (0.658, 0.055, 0.250)
Te (0.810, 0.420, 0.250)
Te (0.495, 0.674, 0.750)
Te (0.342, 0.945, 0.750)
Te (0.190, 0.580, 0.750)

Calculated values
- Volume: 410.5 Å³/cell
- SG: No. 11


It is version ii that is the most stable of them.